Record 1
This record from the Alexandria database describes NpSi2NiPd after structural relaxation. The functional is GGA-PBE.

DOS at the Fermi energy (states/eV/cell): 11.19
Space group: I-4m2, No. 119
M_tot (μB/f.u.): 3.7
DFT total energy (eV for the cell shown): -37.4
E_form (uncorrected) (eV per atom): -0.535
Crystal system: tetragonal

Cell: 5.777 5.777 5.777 Å, 139.46 139.46 58.67°
Sites, in units of the cell vectors:
1 Np 0.000 0.000 0.000
2 Si 0.383 0.383 0.000
3 Si 0.617 0.617 0.000
4 Ni 0.250 0.750 0.500
5 Pd 0.750 0.250 0.500

***

Record 2
This record from the Alexandria database describes NaPt after structural relaxation. The functional is GGA-PBE.

DOS at the Fermi energy (states/eV/cell): 3.69
Space group: R-3m, No. 166
M_tot (μB/f.u.): 0.0
DFT total energy (eV for the cell shown): -15.6
Crystal system: trigonal
ΔE_f (eV/atom): -0.22

Cell: 5.325 5.325 5.325 Å, 49.81 49.81 49.81°
Sites, in units of the cell vectors:
1 Na 0.115 0.115 0.115
2 Na 0.885 0.885 0.885
3 Pt 0.334 0.334 0.334
4 Pt 0.666 0.666 0.666

***

Record 3
This record from the Alexandria database describes Ho2Tl3ZnS6 after structural relaxation. The functional is GGA-PBE.

DOS at the Fermi energy (states/eV/cell): 5.93
Space group: C2/m, No. 12
M_tot (μB/f.u.): 0.0
DFT total energy (eV for the cell shown): -54.8
E_form (uncorrected) (eV per atom): -1.044
Crystal system: monoclinic

Cell: 6.844 6.844 7.600 Å, 98.92 98.92 119.65°
Sites, in units of the cell vectors:
1 Ho 0.166 0.834 0.000
2 Ho 0.834 0.166 0.000
3 Tl 0.000 0.000 0.500
4 Tl 0.329 0.671 0.500
5 Tl 0.671 0.329 0.500
6 Zn 0.500 0.500 0.000
7 S 0.116 0.434 0.805
8 S 0.240 0.240 0.208
9 S 0.434 0.116 0.805
10 S 0.566 0.884 0.195
11 S 0.760 0.760 0.792
12 S 0.884 0.566 0.195